No. 1
Material: FeRe2Cl
Method: DFT, SCAN
State: single point on PBEsol structure

Results
Total DFT energy (no corrections) in eV/atom: -41.365
Fermi-level density of states in states/eV per atom: 0.420
Crystal system: tetragonal
Space group: P4/mmm
Energy relative to the lowest polymorph listed for this composition in eV per formula unit: 0.51
Formation energy without anion corrections in kJ per mole of atoms: 69

Lattice parameters (Å, degrees): 2.9189 2.9189 6.3957 90.00 90.00 90.00
With the nearest neighbours (Å) after each atom.
Element x y z (fractional)
Re 0.0000 0.0000 0.2799  4 Fe 2.50, 4 Cl 2.73
Fe 0.5000 0.5000 0.5000  8 Re 2.50
Cl 0.5000 0.5000 0.0000  8 Re 2.73, 4 Cl 2.92
Re 0.0000 0.0000 0.7201  4 Fe 2.50, 4 Cl 2.73


No. 2
Material: CdHgPb
Method: DFT, SCAN
State: single point on PBEsol structure

Results
Formation energy from the elements in meV per atom: 49
Total DFT energy (no corrections) in eV/atom: -58.072
Fermi-level density of states in states/eV per atom: 0.490
Crystal system: orthorhombic
Space group: Imm2

Lattice parameters (Å, degrees): 3.4059 3.6625 6.4365 106.53 105.34 90.00
With the nearest neighbours (Å) after each atom.
Element x y z (fractional)
Cd 0.0119 0.0119 0.0237  4 Hg 3.02, 4 Pb 3.27
Pb 0.3337 0.3337 0.6674  4 Cd 3.27, 4 Hg 3.28, 4 Pb 3.41-3.66
Hg 0.6545 0.6545 0.3089  4 Cd 3.02, 4 Pb 3.28


No. 3
Material: NiHg4
Method: DFT, SCAN
State: single point on PBEsol structure

Results
Formation energy from the elements in meV per atom: -4
Total DFT energy (no corrections) in eV/atom: -57.771
Fermi-level density of states in states/eV per atom: 0.317
Crystal system: cubic
Space group: Im-3m

Lattice parameters (Å, degrees): 5.2212 5.2212 5.2212 109.47 109.47 109.47
With the nearest neighbours (Å) after each atom.
Element x y z (fractional)
Hg 0.0000 0.5000 0.0000  2 Ni 2.61
Ni 0.0000 0.0000 0.0000  8 Hg 2.61
Hg 0.0000 0.0000 0.5000  2 Ni 2.61
Hg 0.5000 0.5000 0.5000  2 Ni 2.61
Hg 0.5000 0.0000 0.0000  2 Ni 2.61


- Which of these has the lowest total DFT energy (no corrections)?
  CdHgPb